[1]
Compound: Ba2LiMnGa
Source: the Alexandria database
Functional: GGA-PBE
Structure: optimized geometry

Lattice parameters (Å, degrees): 6.462 4.642 6.462 90.00 90.00 90.00
Site moments in Bohr magnetons follow the coordinates.
Atoms (fractional coordinates):
Ga 0.000 0.000 0.000  -0.03
Ba 0.500 0.000 0.000  -0.01
Ba 0.000 0.000 0.500  -0.01
Mn 0.000 0.500 0.000  0.30
Li 0.500 0.500 0.500  0.00

Properties
* DFT total energy: -3.06 eV per atom

---

[2]
Compound: BaLiGaNi
Source: the Alexandria database
Functional: GGA-PBE
Structure: optimized geometry

Lattice parameters (Å, degrees): 4.289 4.289 11.835 90.00 90.00 90.00
Atoms (fractional coordinates):
Ni 0.250 0.750 0.000
Ni 0.750 0.250 0.000
Ba 0.750 0.750 0.228
Ba 0.250 0.250 0.772
Ga 0.250 0.250 0.090
Ga 0.750 0.750 0.910
Li 0.750 0.250 0.500
Li 0.250 0.750 0.500

Properties
* DFT total energy: -3.36 eV per atom

---

[3]
Compound: Ba2LiGa2Ni
Source: the Alexandria database
Functional: GGA-PBE
Structure: optimized geometry

Lattice parameters (Å, degrees): 6.515 6.459 9.319 110.28 110.46 90.00
Atoms (fractional coordinates):
Ga 0.931 0.214 0.862
Ga 0.569 0.352 0.138
Ga 0.069 0.786 0.138
Ga 0.431 0.648 0.862
Ba 0.655 0.915 0.310
Ba 0.845 0.604 0.690
Ba 0.155 0.396 0.310
Ba 0.345 0.085 0.690
Ni 0.250 0.500 0.000
Ni 0.750 0.500 0.000
Li 0.250 0.000 0.000
Li 0.750 0.000 0.000

Properties
* DFT total energy: -3.21 eV per atom

---

[4]
Compound: BaLiGa2Ni
Source: the Alexandria database
Functional: GGA-PBE
Structure: optimized geometry

Lattice parameters (Å, degrees): 4.686 4.686 5.021 90.00 90.00 90.00
Atoms (fractional coordinates):
Ga 0.000 0.500 0.000
Ga 0.500 0.000 0.000
Ba 0.500 0.500 0.500
Ni 0.000 0.000 0.000
Li 0.000 0.000 0.500

Properties
* DFT total energy: -3.44 eV per atom

---

[5]
Compound: BaLi2GaO4
Source: the Alexandria database
Functional: GGA-PBE
Structure: optimized geometry

Lattice parameters (Å, degrees): 5.310 5.310 5.310 118.38 118.38 92.83
Site moments in Bohr magnetons follow the coordinates.
Atoms (fractional coordinates):
O 0.651 0.651 0.613  0.21
O 0.962 0.349 0.000  0.21
O 0.349 0.962 0.000  0.21
O 0.038 0.038 0.387  0.21
Li 0.250 0.750 0.500  0.00
Li 0.750 0.250 0.500  0.00
Ba 0.500 0.500 0.000  0.03
Ga 0.000 0.000 0.000  0.00

Properties
* DFT total energy: -5.47 eV per atom

---

[6]
Compound: Ba3LiGa2O6
Source: the Alexandria database
Functional: GGA-PBE
Structure: optimized geometry

Lattice parameters (Å, degrees): 6.023 6.023 6.972 90.00 90.00 120.00
Atoms (fractional coordinates):
Ga 0.667 0.333 0.792
Ga 0.333 0.667 0.208
O 0.662 0.831 0.297
O 0.169 0.338 0.297
O 0.169 0.831 0.297
O 0.338 0.169 0.703
O 0.831 0.662 0.703
O 0.831 0.169 0.703
Ba 0.667 0.333 0.351
Ba 0.333 0.667 0.649
Ba 0.000 0.000 0.000
Li 0.000 0.000 0.500

Properties
* DFT total energy: -5.63 eV per atom

---

[7]
Compound: BaLiGaO3
Source: the Alexandria database
Functional: GGA-PBE
Structure: optimized geometry

Lattice parameters (Å, degrees): 5.520 5.593 5.841 118.61 90.00 90.00
Atoms (fractional coordinates):
Ba 0.250 0.725 0.449
Ba 0.750 0.275 0.551
O 0.000 0.238 0.000
O 0.500 0.762 0.000
O 0.750 0.764 0.528
O 0.500 0.238 0.000
O 0.000 0.762 0.000
O 0.250 0.236 0.472
Ga 0.250 0.051 0.102
Ga 0.750 0.949 0.898
Li 0.750 0.570 0.141
Li 0.250 0.430 0.859

Properties
* DFT total energy: -5.79 eV per atom

---

[8]
Compound: Ba2LiGaO4
Source: the Alexandria database
Functional: GGA-PBE
Structure: optimized geometry

Lattice parameters (Å, degrees): 4.576 6.138 10.127 85.17 76.94 68.11
Atoms (fractional coordinates):
O 0.595 0.203 0.099
O 0.444 0.703 0.401
O 0.202 0.203 0.901
O 0.853 0.703 0.599
O 0.897 0.797 0.901
O 0.306 0.797 0.099
O 0.548 0.297 0.599
O 0.155 0.297 0.401
Ba 0.575 0.500 0.849
Ba 0.925 0.500 0.151
Ba 0.825 0.000 0.349
Ba 0.175 0.000 0.651
Li 0.750 0.500 0.500
Li 0.000 0.000 0.000
Ga 0.500 0.000 0.000
Ga 0.250 0.500 0.500

Properties
* DFT total energy: -5.74 eV per atom